{"formula": "Hf2ZnPbC", "functional": "PBEsol", "state": "relaxed", "formation_energy_ev_per_fu": 1.1, "magmom_total_mub_per_cell": 0.0, "sg": "No. 123", "volume_a3_per_atom": 18.89, "lattice_angstrom": [[4.389, 0.000, 0.000], [0.000, 4.389, 0.000], [0.000, 0.000, 4.901]], "species": ["Hf", "Hf", "Zn", "Pb", "C"], "fractional_positions": [[0.000, 0.500, 0.000], [0.500, 0.000, 0.000], [0.000, 0.000, 0.500], [0.500, 0.500, 0.500], [0.500, 0.500, 0.000]]}